A relaxed structure of CuNiAsPd. Source: the Open Quantum Materials Database, functional PBE.

Properties
**Calculated total energy**: -76.8 eV/cell
**Energy relative to the lowest polymorph listed for this composition**: 0.98 kcal/mol of atoms

Geometry as CIF:
```
data_CuNiAsPd
_chemical_formula_sum 'Cu4 Ni4 As4 Pd4'
_symmetry_space_group_name_H-M 'F -4 3 m'
_symmetry_Int_Tables_number 216
_symmetry_space_group_name_Hall 'F -4 2 3'
_cell_length_a 6.033
_cell_length_b 6.033
_cell_length_c 6.033
_cell_angle_alpha 90.00
_cell_angle_beta 90.00
_cell_angle_gamma 90.00
loop_
_atom_site_label
_atom_site_type_symbol
_atom_site_fract_x
_atom_site_fract_y
_atom_site_fract_z
Cu1 Cu 0.000 0.000 0.000
Ni1 Ni 0.250 0.250 0.250
As1 As 0.250 0.250 0.750
Pd1 Pd 0.000 0.000 0.500
```

A relaxed structure of KPa2Tc. Source: the Open Quantum Materials Database, functional PBE.

Properties
**Calculated total energy**: -28.5 eV/cell

Geometry as CIF:
```
data_KPa2Tc
_chemical_formula_sum 'K1 Pa2 Tc1'
_symmetry_space_group_name_H-M 'P -6 m 2'
_symmetry_Int_Tables_number 187
_symmetry_space_group_name_Hall 'P -6 2'
_cell_length_a 3.6089
_cell_length_b 3.6089
_cell_length_c 11.0798
_cell_angle_alpha 90.00
_cell_angle_beta 90.00
_cell_angle_gamma 120.00
loop_
_atom_site_label
_atom_site_type_symbol
_atom_site_fract_x
_atom_site_fract_y
_atom_site_fract_z
K1 K 0.0000 0.0000 0.0000
Pa1 Pa 0.0000 0.0000 0.3387
Tc1 Tc 0.6667 0.3333 0.5000
```

A relaxed structure of TbPmOs. Source: the Open Quantum Materials Database, functional PBE.

Properties
**Calculated total energy**: -73.1 eV/cell
**E_form**: 776 meV per atom

Geometry as CIF:
```
data_TbPmOs
_chemical_formula_sum 'Tb4 Pm4 Os4'
_symmetry_space_group_name_H-M 'F -4 3 m'
_symmetry_Int_Tables_number 216
_symmetry_space_group_name_Hall 'F -4 2 3'
_cell_length_a 6.733
_cell_length_b 6.733
_cell_length_c 6.733
_cell_angle_alpha 90.00
_cell_angle_beta 90.00
_cell_angle_gamma 90.00
loop_
_atom_site_label
_atom_site_type_symbol
_atom_site_fract_x
_atom_site_fract_y
_atom_site_fract_z
Tb1 Tb 0.000 0.000 0.000
Pm1 Pm 0.250 0.250 0.750
Os1 Os 0.000 0.000 0.500
```

- Which of these has the lowest calculated total energy?
  CuNiAsPd